1.
First-principles (PBE) data for a relaxed structure of Be2AuCl, as listed in the Alexandria database.

The space group is Cmm2 (No. 35) and the conventional cell measures 2.9298, 5.3409 and 8.7917 Å, with angles of 90.00, 90.00 and 90.00 degrees. Symmetry generates all atoms from Be at (0.0000, 0.0000, 0.0000), Be at (0.0000, 0.5000, 0.2054), Au at (0.0000, 0.0000, 0.4119) and Cl at (0.0000, 0.5000, 0.8428).

The formation energy (no corrections) is 0.069 eV per atom. For the polymorph energy (0 for the lowest one), the calculation gives 1.06 eV per formula unit.



2.
First-principles (PBE) data for a relaxed structure of Hg3Bi4Pb4, as listed in the Alexandria database.

The space group is Immm (No. 71) and the conventional cell measures 3.4548, 9.0019 and 21.9460 Å, with angles of 90.00, 90.00 and 90.00 degrees. Symmetry generates all atoms from Hg at (0.0000, 0.0000, 0.0000), Hg at (0.0000, 0.5000, 0.1042), Bi at (0.0000, 0.3199, 0.3524), Pb at (0.0000, 0.0000, 0.2624) and Pb at (0.0000, 0.2023, 0.5000).

The calculation puts the energy of formation from the pure elements at 0.055 eV per atom.



3.
First-principles (PBE) data for a relaxed structure of KAgSbRu2, as listed in the Alexandria database.

The space group is P4/mmm (No. 123) and the conventional cell measures 5.1876, 5.1876 and 5.1582 Å, with angles of 90.00, 90.00 and 90.00 degrees. Symmetry generates all atoms from K at (0.0000, 0.0000, 0.0000), Ag at (0.5000, 0.5000, 0.5000), Sb at (0.5000, 0.5000, 0.0000) and Ru at (0.0000, 0.5000, 0.5000).

The formation energy (no corrections) is 1.500 eV per atom.



4.
First-principles (PBE) data for a relaxed structure of Ac2TbCuO6, as listed in the Alexandria database.

The space group is Pmmn (No. 59, origin choice 2) and the conventional cell measures 5.3587, 9.6097 and 6.0994 Å, with angles of 90.00, 90.00 and 90.00 degrees. Symmetry generates all atoms from Ac at (0.2500, 0.0506, 0.2147), Tb at (0.2500, 0.2500, 0.7345), Cu at (0.2500, 0.7500, 0.7580), O at (0.0016, 0.7500, 0.5503), O at (0.0021, 0.7500, 0.9682) and O at (0.2500, 0.0200, 0.8103).

The formation energy (no corrections) is -2.542 eV per atom.



5.
First-principles (PBE) data for a relaxed structure of Ho2ZrCu, as listed in the Alexandria database.

The space group is R-3m (No. 166, hexagonal axes) and the conventional cell measures 3.2359, 3.2359 and 32.4694 Å, with angles of 90.00, 90.00 and 120.00 degrees. Symmetry generates all atoms from Ho at (0.0000, 0.0000, 0.0980), Zr at (0.0000, 0.0000, 0.0000) and Cu at (0.0000, 0.0000, 0.5000).

For the polymorph energy (0 for the lowest one), the calculation gives 1.69 eV per formula unit. The calculation puts the energy of formation from the pure elements at 0.335 eV per atom.



6.
First-principles (PBE) data for a relaxed structure of BaSr2Ag, as listed in the Alexandria database.

The space group is P4/mmm (No. 123) and the conventional cell measures 4.0810, 4.0810 and 10.4843 Å, with angles of 90.00, 90.00 and 90.00 degrees. Symmetry generates all atoms from Ba at (0.0000, 0.0000, 0.0000), Sr at (0.5000, 0.5000, 0.3214) and Ag at (0.0000, 0.0000, 0.5000).

For the polymorph energy (0 for the lowest one), the calculation gives 0.14 eV per formula unit. The calculation puts the energy of formation from the pure elements at -0.122 eV per atom.



7.
First-principles (PBE) data for a relaxed structure of Rb2IrS4, as listed in the Alexandria database.

The space group is I4/mmm (No. 139) and the conventional cell measures 4.9207, 4.9207 and 16.3248 Å, with angles of 90.00, 90.00 and 90.00 degrees. Symmetry generates all atoms from Rb at (0.0000, 0.0000, 0.1447), Ir at (0.0000, 0.0000, 0.5000), S at (0.0000, 0.0000, 0.3584) and S at (0.0000, 0.5000, 0.0000).

The formation energy (no corrections) is -0.276 eV per atom.



8.
First-principles (PBE) data for a relaxed structure of LaSm6In5, as listed in the Alexandria database.

The space group is Immm (No. 71) and the conventional cell measures 5.0944, 8.9656 and 15.3539 Å, with angles of 90.00, 90.00 and 90.00 degrees. Symmetry generates all atoms from La at (0.0000, 0.0000, 0.0000), Sm at (0.0000, 0.2265, 0.5000), Sm at (0.0000, 0.2643, 0.1710), In at (0.0000, 0.0000, 0.3230), In at (0.0000, 0.5000, 0.0000) and In at (0.0000, 0.5000, 0.3454).

The calculation puts the energy of formation from the pure elements at -0.390 eV per atom.



9.
First-principles (PBE) data for a relaxed structure of NdYSn2, as listed in the Alexandria database.

The space group is Amm2 (No. 38) and the conventional cell measures 4.3585, 4.5868 and 11.6014 Å, with angles of 90.00, 90.00 and 90.00 degrees. Symmetry generates all atoms from Nd at (0.0000, 0.0000, 0.0000), Y at (0.5000, 0.0000, 0.7299), Sn at (0.0000, 0.0000, 0.2731) and Sn at (0.5000, 0.0000, 0.4558).

The calculation puts the energy of formation from the pure elements at -0.770 eV per atom.



10.
First-principles (PBE) data for a relaxed structure of YCu2Se, as listed in the Alexandria database.

The space group is R3m (No. 160, hexagonal axes) and the conventional cell measures 4.0811, 4.0811 and 16.0620 Å, with angles of 90.00, 90.00 and 120.00 degrees. Symmetry generates all atoms from Y at (0.0000, 0.0000, 0.0000), Cu at (0.0000, 0.0000, 0.4712), Cu at (0.0000, 0.0000, 0.7652) and Se at (0.0000, 0.0000, 0.2216).

The formation energy (no corrections) is -0.497 eV per atom.



11.
First-principles (PBE) data for a relaxed structure of Ca2LuAg, as listed in the Alexandria database.

The space group is P4/mmm (No. 123) and the conventional cell measures 3.5757, 3.5757 and 9.5420 Å, with angles of 90.00, 90.00 and 90.00 degrees. Symmetry generates all atoms from Ca at (0.0000, 0.0000, 0.2071), Lu at (0.5000, 0.5000, 0.5000) and Ag at (0.5000, 0.5000, 0.0000).

For the polymorph energy (0 for the lowest one), the calculation gives 0.00 eV per formula unit. The calculation puts the energy of formation from the pure elements at -0.037 eV per atom.



12.
First-principles (PBE) data for a relaxed structure of Bi3Pb5N2, as listed in the Alexandria database.

The space group is C2/c (No. 15) and the conventional cell measures 6.7885, 27.0141 and 6.5750 Å, with angles of 90.00, 103.51 and 90.00 degrees. Symmetry generates all atoms from Bi at (0.0000, 0.2312, 0.2500), Bi at (0.1630, 0.1013, 0.9737), Pb at (0.0000, 0.2229, 0.7500), Pb at (0.0840, 0.3321, 0.5274), Pb at (0.1998, 0.4585, 0.4851) and N at (0.1606, 0.4617, 0.1135).

The formation energy (no corrections) is 0.324 eV per atom.



Table of density (g cm⁻³), in record order: 6.05, 11.03, 5.63, 8.17, 8.20, 4.00, 4.13, 7.65, 6.74, 6.34, 4.94, 9.58
Table of spin magnetization (μB/atom), in record order: 0.000, 0.000, 0.984, 0.000, 0.000, 0.000, 0.526, 0.000, 0.000, 0.000, 0.072, 0.000